{
  "formula": "Ba3BePd",
  "functional": "PBE-GGA",
  "state": "optimized geometry",
  "lattice_angstrom": [[-4.957, 1.153, -3.419], [0.198, -5.714, -2.214], [-3.603, -1.901, 4.582]],
  "species": ["Be", "Ba", "Ba", "Ba", "Pd"],
  "frac_coords": [[0.500, 0.500, 0.500], [0.000, 0.500, 0.000], [0.000, 0.000, 0.500], [0.500, 0.000, 0.000], [0.000, 0.000, 0.000]],
  "space_group": "Pm-3m",
  "delta_e_f_ev_per_atom": 0.249,
  "e_above_lowest_polymorph_mev_per_atom": 0,
  "crystal_system": "cubic"
}

=====

{
  "formula": "BaBePd",
  "functional": "PBE-GGA",
  "state": "optimized geometry",
  "lattice_angstrom": [[-3.717, 1.916, -0.755], [-0.246, -2.878, 5.651], [4.222, 4.490, 1.928]],
  "species": ["Be", "Be", "Ba", "Ba", "Pd", "Pd"],
  "frac_coords": [[0.585, 0.784, 0.379], [0.415, 0.216, 0.621], [0.752, 0.298, 0.191], [0.248, 0.702, 0.809], [0.124, 0.896, 0.344], [0.876, 0.104, 0.656]],
  "space_group": "P-1",
  "delta_e_f_ev_per_atom": -0.241,
  "e_above_lowest_polymorph_mev_per_atom": 60,
  "crystal_system": "triclinic"
}

=====

{
  "formula": "BaBePd",
  "functional": "PBE-GGA",
  "state": "optimized geometry",
  "lattice_angstrom": [[-1.737, -0.981, 3.372], [-2.061, -4.194, -4.558], [4.136, -3.304, 1.169]],
  "species": ["Pd", "Pd", "Be", "Be", "Ba", "Ba"],
  "frac_coords": [[0.547, 0.095, 0.750], [0.453, 0.905, 0.250], [0.000, 0.000, 0.500], [0.000, 0.000, 0.000], [0.700, 0.399, 0.250], [0.300, 0.601, 0.750]],
  "space_group": "Cmcm",
  "delta_e_f_ev_per_atom": -0.161,
  "e_above_lowest_polymorph_mev_per_atom": 140,
  "crystal_system": "orthorhombic"
}